TlIn2Br2 after structural relaxation. Source: Alexandria, functional PBE-GGA.

Raw formation energy (kJ/mol of formula units): -191.3
Offset from the most stable computed form (meV/atom): 0
Space group: P4/mbm (127)
Calculated total energy (eV per atom): -2.634
Fermi-level density of states (states/eV/f.u.): 2.73

Cell and atoms, written as POSCAR:
```
TlIn2Br2
1.0
8.292 0.000 0.000
0.000 8.292 0.000
0.000 0.000 4.743
Tl Br In
2 4 4
direct
0.000 0.000 0.000
0.500 0.500 0.000
0.182 0.682 0.500
0.682 0.818 0.500
0.818 0.318 0.500
0.318 0.182 0.500
0.360 0.860 0.000
0.860 0.640 0.000
0.640 0.140 0.000
0.140 0.360 0.000
```



TcAs4Ru after structural relaxation. Source: Alexandria, functional PBE-GGA.

ΔH_f (0 K) (eV per atom): -0.2633
Offset from the most stable computed form (meV/atom): 0
Space group: Pnc2 (30)
Calculated total energy (eV per atom): -6.637
Fermi-level density of states (states/eV/f.u.): 2.97

Cell and atoms, written as POSCAR:
```
TcAs4Ru
1.0
-0.083 -3.434 4.418
-1.719 -4.212 -3.307
6.383 -1.676 -1.184
Tc As Ru
2 8 2
direct
0.000 0.000 0.917
0.500 0.000 0.417
0.324 0.802 0.109
0.318 0.304 0.887
0.182 0.304 0.387
0.176 0.802 0.609
0.818 0.696 0.387
0.824 0.198 0.609
0.676 0.198 0.109
0.682 0.696 0.887
0.000 0.500 0.091
0.500 0.500 0.591
```



Mn3InRe after structural relaxation. Source: Alexandria, functional PBE-GGA.

ΔH_f (0 K) (eV per atom): 1.1331
Offset from the most stable computed form (meV/atom): 0
Space group: Pm-3m (221)
Calculated total energy (eV per atom): -7.406
Fermi-level density of states (states/eV/f.u.): 7.58

Cell and atoms, written as POSCAR:
```
Mn3InRe
1.0
-1.905 -1.240 -4.047
-2.663 -3.098 2.203
-3.290 3.226 0.560
Re Mn In
1 3 1
direct
0.000 0.000 0.000
0.000 0.500 0.000
0.000 0.000 0.500
0.500 0.000 0.000
0.500 0.500 0.500
```



Er2ZnPd3 after structural relaxation. Source: Alexandria, functional PBE-GGA.

ΔH_f (0 K) (eV per atom): -0.8367
Offset from the most stable computed form (meV/atom): 0
Space group: Pnma (62)
Calculated total energy (eV per atom): -5.166
Fermi-level density of states (states/eV/f.u.): 1.87

Cell and atoms, written as POSCAR:
```
Er2ZnPd3
1.0
3.794 0.000 0.000
0.000 7.133 0.000
0.000 0.000 17.150
Er Zn Pd
8 4 12
direct
0.250 0.660 0.571
0.750 0.840 0.071
0.250 0.160 0.929
0.750 0.340 0.429
0.250 0.611 0.791
0.750 0.889 0.291
0.250 0.111 0.709
0.750 0.389 0.209
0.250 0.988 0.440
0.750 0.512 0.940
0.250 0.488 0.060
0.750 0.012 0.560
0.250 0.758 0.948
0.750 0.742 0.448
0.250 0.258 0.552
0.750 0.242 0.052
0.250 0.084 0.156
0.750 0.416 0.656
0.250 0.584 0.344
0.750 0.916 0.844
0.250 0.695 0.186
0.750 0.805 0.686
0.250 0.195 0.314
0.750 0.305 0.814
```



Cs3AcPb2O6 after structural relaxation. Source: Alexandria, functional PBE-GGA.

Raw formation energy (kJ/mol of formula units): -1796.2
Space group: P-3m1 (164)
Calculated total energy (eV per atom): -5.204
Fermi-level density of states (states/eV/f.u.): 4.79

Cell and atoms, written as POSCAR:
```
Cs3AcPb2O6
1.0
6.762 0.000 0.000
-3.381 5.856 0.000
0.000 0.000 8.039
Cs Ac Pb O
3 1 2 6
direct
0.333 0.667 0.664
0.667 0.333 0.336
0.000 0.000 0.000
0.000 0.000 0.500
0.667 0.333 0.792
0.333 0.667 0.208
0.665 0.832 0.316
0.168 0.335 0.316
0.168 0.832 0.316
0.832 0.665 0.684
0.335 0.168 0.684
0.832 0.168 0.684
```



For the records above, the corresponding spin magnetization values read 0.00, 0.00, 8.29, 0.00, 0.00 Bohr magnetons per cell.